Entry 1:
Density functional theory data (PBE-GGA) for a geometry-optimized PaAlS6 structure.

Results
Formation energy from raw total energies, eV per atom: -0.42

Cell lengths 6.9622, 6.9622, 6.9622 Å; angles 60.00, 60.00, 60.00 degrees
Atoms (fractional coordinates):
S1 0.2379 0.2379 0.7621
Al1 0.0000 0.0000 0.0000
Pa1 0.5000 0.5000 0.5000
S2 0.2379 0.7621 0.2379
S3 0.7621 0.2379 0.7621
S4 0.7621 0.7621 0.2379
S5 0.7621 0.2379 0.2379
S6 0.2379 0.7621 0.7621

***

Entry 2:
Density functional theory data (PBE-GGA) for a geometry-optimized Al2AgPO6 structure.

Results
Formation energy from raw total energies, eV per atom: -2.28

Cell lengths 5.7378, 6.9783, 6.9783 Å; angles 104.72, 75.78, 75.78 degrees
Atoms (fractional coordinates):
Ag1 0.2500 0.9003 0.0997
O1 0.5408 0.5745 0.6747
O2 0.9938 0.6442 0.1930
O3 0.5062 0.8070 0.3558
Al1 0.1515 0.4499 0.2949
O4 0.0408 0.6747 0.5745
Al2 0.8485 0.5501 0.7051
O5 0.2843 0.2477 0.0218
P1 0.2500 0.1986 0.8014
O6 0.2157 0.9782 0.7523
O7 0.7843 0.0218 0.2477
Al3 0.3485 0.7051 0.5501
P2 0.7500 0.8014 0.1986
O8 0.4592 0.4255 0.3253
Al4 0.6515 0.2949 0.4499
O9 0.4938 0.1930 0.6442
O10 0.0062 0.3558 0.8070
O11 0.9592 0.3253 0.4255
Ag2 0.7500 0.0997 0.9003
O12 0.7157 0.7523 0.9782

***

Entry 3:
Density functional theory data (PBE-GGA) for a geometry-optimized CoHgAs2 structure.

Results
Energy relative to the elements, eV per atom: 0.182

Cell lengths 5.8730, 5.8730, 7.5280 Å; angles 48.85, 48.85, 29.07 degrees
Atoms (fractional coordinates):
Hg1 0.8043 0.8043 0.7703
As1 0.9752 0.9752 0.1572
As2 0.2141 0.2141 0.2105
Co1 0.5064 0.5064 0.3620

***

Entry 4:
Density functional theory data (PBE-GGA) for a geometry-optimized ErNi6B4 structure.

Results
Energy relative to the elements, eV per atom: -0.352

Cell lengths 3.3286, 6.1360, 6.1360 Å; angles 120.00, 90.00, 90.00 degrees
Atoms (fractional coordinates):
B1 0.5000 0.7922 0.2078
B2 0.0000 0.3333 0.6667
Er1 0.0000 0.0000 0.0000
B3 0.5000 0.7922 0.5845
Ni1 0.5000 0.2025 0.4049
Ni2 0.0000 0.5334 0.0667
Ni3 0.0000 0.9333 0.4666
Ni4 0.5000 0.5951 0.7976
Ni5 0.5000 0.2025 0.7976
Ni6 0.0000 0.5334 0.4666
B4 0.5000 0.4155 0.2078

***

Entry 5:
Density functional theory data (PBE-GGA) for a geometry-optimized ReGe2Se structure.

Results
Formation energy from raw total energies, eV per atom: 0.60

Cell lengths 5.8635, 5.8635, 7.0722 Å; angles 65.51, 65.51, 90.00 degrees
Atoms (fractional coordinates):
Ge1 0.3750 0.3401 0.7500
Ge2 0.0901 0.6250 0.2500
Se1 0.5000 0.5000 0.0000
Se2 0.2500 0.7500 0.5000
Ge3 0.8750 0.9099 0.7500
Ge4 0.6599 0.1250 0.2500
Re1 0.0000 0.0000 0.0000
Re2 0.7500 0.2500 0.5000

***

Entry 6:
Density functional theory data (PBE-GGA) for a geometry-optimized TlCu3Re structure.

Results
Energy relative to the elements, eV per atom: 1.299

Cell lengths 4.7766, 4.7766, 4.7766 Å; angles 90.00, 90.00, 90.00 degrees
Each line ends with the local moment (μB).
Atoms (fractional coordinates):
Tl1 0.5000 0.5000 0.5000  0.01
Cu1 0.5000 0.0000 0.0000  0.05
Cu2 0.0000 0.5000 0.0000  0.09
Cu3 0.0000 0.0000 0.5000  0.19
Re1 0.0000 0.0000 0.0000  0.85

***

Entry 7:
Density functional theory data (PBE-GGA) for a geometry-optimized LaYZn2Au5 structure.

Results
Energy relative to the elements, eV per atom: -0.507

Cell lengths 4.5659, 4.5659, 9.1482 Å; angles 90.00, 90.00, 90.00 degrees
Atoms (fractional coordinates):
Au1 0.0000 0.5000 0.2606
Au2 0.5000 0.5000 0.5000
Zn1 0.5000 0.5000 0.1304
Y1 0.0000 0.0000 0.0000
Au3 0.0000 0.5000 0.7394
Au4 0.5000 0.0000 0.7394
Au5 0.5000 0.0000 0.2606
Zn2 0.5000 0.5000 0.8696
La1 0.0000 0.0000 0.5000

***

Entry 8:
Density functional theory data (PBE-GGA) for a geometry-optimized Li3TbCl6 structure.

Results
Formation energy from raw total energies, eV per atom: -1.87

Cell lengths 4.3330, 7.6989, 7.6989 Å; angles 113.81, 90.00, 90.00 degrees
Atoms (fractional coordinates):
Li1 0.0000 0.0000 0.0000
Cl1 0.0000 0.0879 0.3363
Li2 0.5000 0.5000 0.0000
Cl2 0.5000 0.6340 0.3660
Cl3 0.0000 0.3363 0.0879
Cl4 0.5000 0.3660 0.6340
Li3 0.5000 0.0000 0.5000
Cl5 0.0000 0.9121 0.6637
Cl6 0.0000 0.6637 0.9121
Tb1 0.0000 0.5000 0.5000

***

In the order shown, the computed N(E_F) values come out to 0.880; 0.000; 0.521; 0.600; 0.812; 1.106; 0.378; 0.000 states/eV per atom.